Computed, not measured: TaTlI2O after structural relaxation at the PBE-GGA level of DFT.

Summary:
As for the energy relative to the lowest polymorph listed for this composition: 1614 meV per atom. The calculation puts the raw formation energy at 0.8750 eV per atom. The value obtained for the mass density is 7.31 g/cm³.

a b c (Å): 6.0881 6.0881 4.0161
angles (deg): 90.00 90.00 90.00
With the nearest neighbours (Å) after each atom.
Fractional coordinates of all 5 atoms:
I1 0.0000 0.5000 0.0000  2 Tl 3.04
Ta1 0.5000 0.5000 0.5000  8 I 3.65, 2 Ta 4.02
I2 0.5000 0.0000 0.0000  2 Tl 3.04
Tl1 0.0000 0.0000 0.0000  2 O 2.01
O1 0.0000 0.0000 0.5000  2 Tl 2.01

=====

Computed, not measured: Be4Se after structural relaxation at the PBE-GGA level of DFT.

Summary:
As for the energy relative to the lowest polymorph listed for this composition: 495 meV per atom. The calculation puts the raw formation energy at 0.9846 eV per atom. The value obtained for the mass density is 2.73 g/cm³.

a b c (Å): 4.4943 4.4943 4.4943
angles (deg): 109.47 109.47 109.47
With the nearest neighbours (Å) after each atom.
Fractional coordinates of all 5 atoms:
Se1 0.0000 0.0000 0.0000  8 Be 2.25
Be1 0.5000 0.0000 0.0000  2 Se 2.25
Be2 0.0000 0.5000 0.0000  2 Se 2.25
Be3 0.5000 0.5000 0.5000  2 Se 2.25
Be4 0.0000 0.0000 0.5000  2 Se 2.25

=====

Computed, not measured: PmTm3Cd4 after structural relaxation at the PBE-GGA level of DFT.

Summary:
As for the energy of formation from the pure elements: -2.47 eV per formula unit. The value obtained for the mass density is 8.80 g/cm³.

a b c (Å): 5.2349 7.5835 10.4727
angles (deg): 90.00 90.00 90.00
With the nearest neighbours (Å) after each atom.
Fractional coordinates of all 16 atoms:
Tm1 0.0000 0.0000 0.5000  8 Cd 3.19
Cd1 0.5000 0.2407 0.0000  6 Tm 3.19-3.27, 2 Pm 3.27
Cd2 0.9996 0.7595 0.2500  6 Tm 3.19-3.28, 2 Pm 3.28
Cd3 0.5000 0.2407 0.5000  6 Tm 3.19-3.27, 2 Pm 3.27
Cd4 0.5000 0.7593 0.0000  6 Tm 3.19-3.27, 2 Pm 3.27
Cd5 0.9996 0.2405 0.2500  6 Tm 3.19-3.28, 2 Pm 3.28
Cd6 0.5000 0.7593 0.5000  6 Tm 3.19-3.27, 2 Pm 3.27
Tm2 0.5004 0.0000 0.7500  8 Cd 3.19
Tm3 0.4997 0.5000 0.2500  8 Cd 3.27-3.28
Tm4 0.5003 0.5000 0.7500  8 Cd 3.27-3.28
Cd7 0.0004 0.2405 0.7500  6 Tm 3.19-3.28, 2 Pm 3.28
Tm5 0.4996 0.0000 0.2500  8 Cd 3.19
Pm1 0.0000 0.5000 0.5000  8 Cd 3.27-3.28
Pm2 0.0000 0.5000 0.0000  8 Cd 3.27-3.28
Cd8 0.0004 0.7595 0.7500  6 Tm 3.19-3.28, 2 Pm 3.28
Tm6 0.0000 0.0000 0.0000  8 Cd 3.19

=====

Computed, not measured: ZnIn3F after structural relaxation at the PBE-GGA level of DFT.

Summary:
As for the energy relative to the lowest polymorph listed for this composition: 195 meV per atom. The calculation puts the raw formation energy at -0.1653 eV per atom. The value obtained for the mass density is 5.00 g/cm³.

a b c (Å): 5.2228 5.2228 5.2228
angles (deg): 90.00 90.00 90.00
With the nearest neighbours (Å) after each atom.
Fractional coordinates of all 5 atoms:
In1 0.0000 0.5000 0.0000  2 Zn 2.61
F1 0.5000 0.5000 0.5000  12 In 3.69
In2 0.5000 0.0000 0.0000  2 Zn 2.61
Zn1 0.0000 0.0000 0.0000  6 In 2.61
In3 0.0000 0.0000 0.5000  2 Zn 2.61

=====

Computed, not measured: Li2LaMg after structural relaxation at the PBE-GGA level of DFT.

Summary:
As for the energy of formation from the pure elements: 0.36 eV per formula unit. The value obtained for the mass density is 2.87 g/cm³.

a b c (Å): 3.2375 3.2375 10.6150
angles (deg): 90.00 90.00 113.12
With the nearest neighbours (Å) after each atom.
Fractional coordinates of all 4 atoms:
La1 0.5000 0.5000 0.7500  6 La 3.24-3.57, 4 Li 3.41
Li1 0.0000 0.0000 0.0234  2 Mg 2.99, 4 Li 3.24
Li2 0.0000 0.0000 0.4766  2 Mg 2.99, 4 Li 3.24
Mg1 0.5000 0.5000 0.2500  4 Li 2.99, 4 Mg 3.24

=====

Computed, not measured: LaTb2Y3 after structural relaxation at the PBE-GGA level of DFT.

Summary:
As for the energy of formation from the pure elements: 0.43 eV per formula unit. The value obtained for the mass density is 6.09 g/cm³.

a b c (Å): 6.7050 6.7050 9.0116
angles (deg): 98.18 98.18 95.32
With the nearest neighbours (Å) after each atom.
Fractional coordinates of all 12 atoms:
Y1 0.5725 0.4275 0.7500  1 La 3.26, 4 Y 3.28-3.52, 2 Tb 3.61
Tb1 0.6239 0.1298 0.3749  2 Tb 3.48-3.54, 9 Y 3.61-3.80, 3 La 3.66-3.89
La1 0.0981 0.9019 0.2500  5 Y 3.26-3.51
Y2 0.1608 0.3277 0.4946  3 Y 3.28-3.52, 2 La 3.30-3.51, 1 Tb 3.67
Y3 0.3277 0.1608 0.9946  3 Y 3.28-3.52, 2 La 3.30-3.51, 1 Tb 3.67
Tb2 0.8702 0.3761 0.1251  2 Tb 3.48-3.54, 9 Y 3.61-3.80, 3 La 3.66-3.89
Tb3 0.1298 0.6239 0.8749  2 Tb 3.48-3.54, 9 Y 3.61-3.80, 3 La 3.66-3.89
Y4 0.4275 0.5725 0.2500  1 La 3.26, 4 Y 3.28-3.52, 2 Tb 3.61
La2 0.9019 0.0981 0.7500  5 Y 3.26-3.51
Y5 0.6723 0.8392 0.0054  3 Y 3.28-3.52, 2 La 3.30-3.51, 1 Tb 3.67
Y6 0.8392 0.6723 0.5054  3 Y 3.28-3.52, 2 La 3.30-3.51, 1 Tb 3.67
Tb4 0.3761 0.8702 0.6251  2 Tb 3.48-3.54, 9 Y 3.61-3.80, 3 La 3.66-3.89

=====

Computed, not measured: Tb2Y5Ho4 after structural relaxation at the PBE-GGA level of DFT.

Summary:
As for the energy of formation from the pure elements: 1.97 eV per formula unit. As for the energy relative to the lowest polymorph listed for this composition: 157 meV per atom. The value obtained for the mass density is 6.59 g/cm³.

a b c (Å): 6.6577 8.9014 10.2325
angles (deg): 39.68 71.01 68.04
With the nearest neighbours (Å) after each atom.
Fractional coordinates of all 11 atoms:
Ho1 0.5882 0.2284 0.5953  2 Ho 3.31-3.36, 6 Y 3.65-3.68, 1 Tb 3.65
Y1 0.1725 0.2714 0.9082  4 Y 3.16-3.49, 2 Ho 3.25-3.44, 1 Tb 3.42
Y2 0.6478 0.2714 0.9082  4 Y 3.16-3.49, 2 Ho 3.25-3.44, 1 Tb 3.42
Tb1 0.7960 0.1083 0.2997  5 Ho 3.31-3.65, 2 Y 3.42
Y3 0.0000 0.5000 0.5000  4 Y 3.35, 4 Ho 3.73
Y4 0.3522 0.7286 0.0918  4 Y 3.16-3.49, 2 Ho 3.25-3.44, 1 Tb 3.42
Ho2 0.4118 0.7716 0.4047  2 Ho 3.31-3.36, 6 Y 3.65-3.68, 1 Tb 3.65
Ho3 0.7561 0.6809 0.8068  4 Y 3.25-3.44, 4 Tb 3.31-3.54, 1 Ho 3.31
Y5 0.8275 0.7286 0.0918  4 Y 3.16-3.49, 2 Ho 3.25-3.44, 1 Tb 3.42
Ho4 0.2439 0.3191 0.1932  4 Y 3.25-3.44, 4 Tb 3.31-3.54, 1 Ho 3.31
Tb2 0.2040 0.8917 0.7003  5 Ho 3.31-3.65, 2 Y 3.42

=====

Computed, not measured: BaNaFe2 after structural relaxation at the PBE-GGA level of DFT.

Summary:
As for the energy of formation from the pure elements: 6.44 eV per formula unit. As for the energy relative to the lowest polymorph listed for this composition: 475 meV per atom. The value obtained for the mass density is 5.49 g/cm³.

a b c (Å): 4.8817 4.8817 4.8817
angles (deg): 60.00 60.00 60.00
With the nearest neighbours (Å) after each atom.
Fractional coordinates of all 4 atoms:
Fe1 0.2500 0.2500 0.2500  4 Ba 2.99, 4 Na 2.99
Ba1 0.5000 0.5000 0.5000  8 Fe 2.99
Fe2 0.7500 0.7500 0.7500  4 Na 2.99, 4 Ba 2.99
Na1 0.0000 0.0000 0.0000  8 Fe 2.99

=====

Computed, not measured: IrBr2 after structural relaxation at the PBE-GGA level of DFT.

Summary:
The calculation puts the raw formation energy at 0.2300 eV per atom. The value obtained for the mass density is 6.85 g/cm³.

a b c (Å): 3.7120 4.0956 6.3266
angles (deg): 94.79 90.00 116.95
With the nearest neighbours (Å) after each atom.
Fractional coordinates of all 3 atoms:
Br1 0.3447 0.6894 0.7886  2 Ir 2.50
Ir1 0.0000 0.0000 0.0000  4 Br 2.50
Br2 0.6553 0.3106 0.2114  2 Ir 2.50

=====

Computed, not measured: CeUH2 after structural relaxation at the PBE-GGA level of DFT.

Summary:
For the total energy, the calculation gives -6.03 eV/atom. The value obtained for the mass density is 10.53 g/cm³.

a b c (Å): 3.1181 3.1181 7.3418
angles (deg): 77.74 77.74 60.00
With the nearest neighbours (Å) after each atom.
Fractional coordinates of all 4 atoms:
Ce1 0.5000 0.5000 0.5000  6 H 2.27
H1 0.8982 0.8982 0.3055  1 U 2.17, 3 Ce 2.27
U1 0.0000 0.0000 0.0000  2 H 2.17
H2 0.1018 0.1018 0.6945  1 U 2.17, 3 Ce 2.27

=====

Computed, not measured: AcPuSn2Pd5 after structural relaxation at the PBE-GGA level of DFT.

Summary:
As for the energy of formation from the pure elements: -5.11 eV per formula unit. The value obtained for the mass density is 10.49 g/cm³.

a b c (Å): 4.5821 4.5821 9.3510
angles (deg): 90.00 90.00 90.00
With the nearest neighbours (Å) after each atom.
Fractional coordinates of all 9 atoms:
Pd1 0.0000 0.5000 0.7151  2 Sn 2.62
Sn1 0.5000 0.5000 0.1495  4 Pd 2.62, 1 Sn 2.80
Sn2 0.5000 0.5000 0.8505  4 Pd 2.62, 1 Sn 2.80
Pd2 0.5000 0.0000 0.7151  2 Sn 2.62
Pd3 0.5000 0.5000 0.5000  8 Pd 3.05, 4 Ac 3.24, 2 Sn 3.28
Pu1 0.0000 0.0000 0.0000  8 Pd 3.51, 8 Sn 3.53
Ac1 0.0000 0.0000 0.5000  12 Pd 3.05-3.24
Pd4 0.0000 0.5000 0.2849  2 Sn 2.62
Pd5 0.5000 0.0000 0.2849  2 Sn 2.62

=====

Computed, not measured: KCrHg2 after structural relaxation at the PBE-GGA level of DFT.

Summary:
As for the energy of formation from the pure elements: 1.20 eV per formula unit. As for the energy relative to the lowest polymorph listed for this composition: 71 meV per atom. The value obtained for the mass density is 6.89 g/cm³.

a b c (Å): 3.8926 3.8926 7.8272
angles (deg): 90.00 90.00 89.99
With the nearest neighbours (Å) after each atom.
Fractional coordinates of all 4 atoms:
K1 0.0000 0.0000 0.4964  5 Hg 3.42-3.53
Hg1 0.5000 0.5000 0.2148  1 Cr 2.81
Hg2 0.0000 0.0000 0.9327  4 Cr 2.82
Cr1 0.5000 0.5000 0.8562  5 Hg 2.81-2.82